# 1
Computed, not measured: a PBEsol-optimized structure of BTeS2 at the meta-GGA SCAN level of DFT.

Computed properties:
Raw formation energy (meV per atom): 1287.4
Raw total energy (eV/atom): -14.6968
Spin magnetization (μB per cell): 0.0

CIF file:
```
data_BTeS2
_space_group_name_H-M_alt 'F m -3 m'
_space_group_IT_number 225
_space_group_name_Hall '-F 4 2 3'
_cell_length_a 6.404
_cell_length_b 6.404
_cell_length_c 6.404
_cell_angle_alpha 90.00
_cell_angle_beta 90.00
_cell_angle_gamma 90.00
loop_
_atom_site_label
_atom_site_type_symbol
_atom_site_fract_x
_atom_site_fract_y
_atom_site_fract_z
B1 B 0.000 0.000 0.000
Te1 Te 0.000 0.000 0.500
S1 S 0.250 0.250 0.250
```

---

# 2
Computed, not measured: a PBEsol-optimized structure of TiTlB2S at the meta-GGA SCAN level of DFT.

Computed properties:
Raw formation energy (meV per atom): 1502.6
Raw total energy (eV/atom): -21.0725
Spin magnetization (μB per cell): 2.0

CIF file:
```
data_TiTlB2S
_space_group_name_H-M_alt 'P 4/m m m'
_space_group_IT_number 123
_space_group_name_Hall '-P 4 2'
_cell_length_a 3.906
_cell_length_b 3.906
_cell_length_c 5.346
_cell_angle_alpha 90.00
_cell_angle_beta 90.00
_cell_angle_gamma 90.00
loop_
_atom_site_label
_atom_site_type_symbol
_atom_site_fract_x
_atom_site_fract_y
_atom_site_fract_z
Ti1 Ti 0.000 0.000 0.000
Tl1 Tl 0.500 0.500 0.000
B1 B 0.000 0.500 0.500
S1 S 0.500 0.500 0.500
```

---

# 3
Computed, not measured: a PBEsol-optimized structure of Tl3B3S10 at the meta-GGA SCAN level of DFT.

Computed properties:
Raw formation energy (meV per atom): -433.4
Raw total energy (eV/atom): -21.4111
Spin magnetization (μB per cell): 0.0

CIF file:
```
data_Tl3B3S10
_space_group_name_H-M_alt 'P -1'
_space_group_IT_number 2
_cell_length_a 6.745
_cell_length_b 7.642
_cell_length_c 13.689
_cell_angle_alpha 103.94
_cell_angle_beta 94.19
_cell_angle_gamma 94.04
loop_
_space_group_symop_operation_xyz
'x,y,z'
'-x,-y,-z'
loop_
_atom_site_label
_atom_site_type_symbol
_atom_site_fract_x
_atom_site_fract_y
_atom_site_fract_z
Tl1 Tl 0.018 0.380 0.292
Tl2 Tl 0.259 0.957 0.346
Tl3 Tl 0.330 0.672 0.981
B1 B 0.104 0.119 0.915
B2 B 0.260 0.217 0.739
B3 B 0.364 0.414 0.587
S1 S 0.070 0.292 0.837
S2 S 0.142 0.241 0.054
S3 S 0.145 0.024 0.123
S4 S 0.164 0.240 0.609
S5 S 0.230 0.560 0.514
S6 S 0.300 0.969 0.729
S7 S 0.337 0.998 0.884
S8 S 0.457 0.736 0.487
S9 S 0.477 0.562 0.715
S10 S 0.481 0.650 0.219
```

---

# 4
Computed, not measured: a PBEsol-optimized structure of ZnB2S2 at the meta-GGA SCAN level of DFT.

Computed properties:
Raw formation energy (meV per atom): 613.6
Raw total energy (eV/atom): -8.9125
Spin magnetization (μB per cell): 0.0

CIF file:
```
data_ZnB2S2
_space_group_name_H-M_alt 'I 4/m m m'
_space_group_IT_number 139
_space_group_name_Hall '-I 4 2'
_cell_length_a 4.209
_cell_length_b 4.209
_cell_length_c 6.434
_cell_angle_alpha 90.00
_cell_angle_beta 90.00
_cell_angle_gamma 90.00
loop_
_atom_site_label
_atom_site_type_symbol
_atom_site_fract_x
_atom_site_fract_y
_atom_site_fract_z
Zn1 Zn 0.000 0.000 0.000
B1 B 0.000 0.000 0.363
S1 S 0.000 0.500 0.250
```

---

# 5
Computed, not measured: a PBEsol-optimized structure of Zr2BS at the meta-GGA SCAN level of DFT.

Computed properties:
Raw formation energy (meV per atom): -636.9
Raw total energy (eV/atom): -20.2506
Spin magnetization (μB per cell): 0.0

CIF file:
```
data_Zr2BS
_space_group_name_H-M_alt 'I -4 2 d'
_space_group_IT_number 122
_space_group_name_Hall 'I -4 2bw'
_cell_length_a 5.478
_cell_length_b 5.478
_cell_length_c 10.901
_cell_angle_alpha 90.00
_cell_angle_beta 90.00
_cell_angle_gamma 90.00
loop_
_atom_site_label
_atom_site_type_symbol
_atom_site_fract_x
_atom_site_fract_y
_atom_site_fract_z
Zr1 Zr 0.206 0.250 0.125
B1 B 0.000 0.000 0.000
S1 S 0.000 0.000 0.500
```

---

# 6
Computed, not measured: a PBEsol-optimized structure of ScBSb2 at the meta-GGA SCAN level of DFT.

Computed properties:
Raw formation energy (meV per atom): 63.0
Raw total energy (eV/atom): -23.9840
Spin magnetization (μB per cell): 0.0

CIF file:
```
data_ScBSb2
_space_group_name_H-M_alt 'I -4 2 d'
_space_group_IT_number 122
_space_group_name_Hall 'I -4 2bw'
_cell_length_a 6.834
_cell_length_b 6.834
_cell_length_c 7.142
_cell_angle_alpha 90.00
_cell_angle_beta 90.00
_cell_angle_gamma 90.00
loop_
_atom_site_label
_atom_site_type_symbol
_atom_site_fract_x
_atom_site_fract_y
_atom_site_fract_z
Sc1 Sc 0.000 0.000 0.000
B1 B 0.000 0.000 0.500
Sb1 Sb 0.173 0.250 0.625
```

---

# 7
Computed, not measured: a PBEsol-optimized structure of Sc3BSb at the meta-GGA SCAN level of DFT.

Computed properties:
Raw formation energy (meV per atom): -724.2
Raw total energy (eV/atom): -18.2045
Spin magnetization (μB per cell): 0.0

CIF file:
```
data_Sc3BSb
_space_group_name_H-M_alt 'P m -3 m'
_space_group_IT_number 221
_space_group_name_Hall '-P 4 2 3'
_cell_length_a 4.583
_cell_length_b 4.583
_cell_length_c 4.583
_cell_angle_alpha 90.00
_cell_angle_beta 90.00
_cell_angle_gamma 90.00
loop_
_atom_site_label
_atom_site_type_symbol
_atom_site_fract_x
_atom_site_fract_y
_atom_site_fract_z
Sc1 Sc 0.000 0.000 0.500
B1 B 0.000 0.000 0.000
Sb1 Sb 0.500 0.500 0.500
```

---

# 8
Computed, not measured: a PBEsol-optimized structure of B2SbSe at the meta-GGA SCAN level of DFT.

Computed properties:
Raw formation energy (meV per atom): 1754.5
Raw total energy (eV/atom): -16.2950
Spin magnetization (μB per cell): 0.0

CIF file:
```
data_B2SbSe
_space_group_name_H-M_alt 'F m -3 m'
_space_group_IT_number 225
_space_group_name_Hall '-F 4 2 3'
_cell_length_a 6.126
_cell_length_b 6.126
_cell_length_c 6.126
_cell_angle_alpha 90.00
_cell_angle_beta 90.00
_cell_angle_gamma 90.00
loop_
_atom_site_label
_atom_site_type_symbol
_atom_site_fract_x
_atom_site_fract_y
_atom_site_fract_z
B1 B 0.250 0.250 0.250
Sb1 Sb 0.000 0.000 0.000
Se1 Se 0.000 0.000 0.500
```

---

# 9
Computed, not measured: a PBEsol-optimized structure of SiBSb3 at the meta-GGA SCAN level of DFT.

Computed properties:
Raw formation energy (meV per atom): 1572.4
Raw total energy (eV/atom): -24.2731
Spin magnetization (μB per cell): 0.0

CIF file:
```
data_SiBSb3
_space_group_name_H-M_alt 'P m -3 m'
_space_group_IT_number 221
_space_group_name_Hall '-P 4 2 3'
_cell_length_a 5.112
_cell_length_b 5.112
_cell_length_c 5.112
_cell_angle_alpha 90.00
_cell_angle_beta 90.00
_cell_angle_gamma 90.00
loop_
_atom_site_label
_atom_site_type_symbol
_atom_site_fract_x
_atom_site_fract_y
_atom_site_fract_z
Si1 Si 0.000 0.000 0.000
B1 B 0.500 0.500 0.500
Sb1 Sb 0.000 0.000 0.500
```

---

# 10
Computed, not measured: a PBEsol-optimized structure of SnBSbTe2 at the meta-GGA SCAN level of DFT.

Computed properties:
Raw formation energy (meV per atom): 1578.2
Raw total energy (eV/atom): -29.4446
Spin magnetization (μB per cell): 0.0

CIF file:
```
data_SnBSbTe2
_space_group_name_H-M_alt 'P 4/m m m'
_space_group_IT_number 123
_space_group_name_Hall '-P 4 2'
_cell_length_a 5.619
_cell_length_b 5.619
_cell_length_c 5.540
_cell_angle_alpha 90.00
_cell_angle_beta 90.00
_cell_angle_gamma 90.00
loop_
_atom_site_label
_atom_site_type_symbol
_atom_site_fract_x
_atom_site_fract_y
_atom_site_fract_z
Sn1 Sn 0.000 0.000 0.000
B1 B 0.500 0.500 0.500
Sb1 Sb 0.000 0.000 0.500
Te1 Te 0.000 0.500 0.000
```

---

# 11
Computed, not measured: a PBEsol-optimized structure of SrB3Sb at the meta-GGA SCAN level of DFT.

Computed properties:
Raw formation energy (meV per atom): 1528.7
Raw total energy (eV/atom): -14.8362
Spin magnetization (μB per cell): 0.0

CIF file:
```
data_SrB3Sb
_space_group_name_H-M_alt 'P m -3 m'
_space_group_IT_number 221
_space_group_name_Hall '-P 4 2 3'
_cell_length_a 4.546
_cell_length_b 4.546
_cell_length_c 4.546
_cell_angle_alpha 90.00
_cell_angle_beta 90.00
_cell_angle_gamma 90.00
loop_
_atom_site_label
_atom_site_type_symbol
_atom_site_fract_x
_atom_site_fract_y
_atom_site_fract_z
Sr1 Sr 0.000 0.000 0.000
B1 B 0.000 0.500 0.500
Sb1 Sb 0.500 0.500 0.500
```

---

# 12
Computed, not measured: a PBEsol-optimized structure of TaBSb3 at the meta-GGA SCAN level of DFT.

Computed properties:
Raw formation energy (meV per atom): 1222.3
Raw total energy (eV/atom): -35.9366
Spin magnetization (μB per cell): 0.0

CIF file:
```
data_TaBSb3
_space_group_name_H-M_alt 'P m -3 m'
_space_group_IT_number 221
_space_group_name_Hall '-P 4 2 3'
_cell_length_a 4.671
_cell_length_b 4.671
_cell_length_c 4.671
_cell_angle_alpha 90.00
_cell_angle_beta 90.00
_cell_angle_gamma 90.00
loop_
_atom_site_label
_atom_site_type_symbol
_atom_site_fract_x
_atom_site_fract_y
_atom_site_fract_z
Ta1 Ta 0.000 0.000 0.000
B1 B 0.500 0.500 0.500
Sb1 Sb 0.000 0.500 0.500
```

---

# 13
Computed, not measured: a PBEsol-optimized structure of TcB3Sb at the meta-GGA SCAN level of DFT.

Computed properties:
Raw formation energy (meV per atom): 1300.8
Raw total energy (eV/atom): -17.6210
Spin magnetization (μB per cell): 0.0

CIF file:
```
data_TcB3Sb
_space_group_name_H-M_alt 'P m -3 m'
_space_group_IT_number 221
_space_group_name_Hall '-P 4 2 3'
_cell_length_a 4.136
_cell_length_b 4.136
_cell_length_c 4.136
_cell_angle_alpha 90.00
_cell_angle_beta 90.00
_cell_angle_gamma 90.00
loop_
_atom_site_label
_atom_site_type_symbol
_atom_site_fract_x
_atom_site_fract_y
_atom_site_fract_z
Tc1 Tc 0.000 0.000 0.000
B1 B 0.000 0.000 0.500
Sb1 Sb 0.500 0.500 0.500
```

---

N(E_F) for every record listed, in sequence, given in states/eV/f.u.: 1.41 3.70 0.00 1.08 1.85 1.58 2.24 2.24 2.78 4.82 3.00 3.53 3.05.